Below is PmV2InO8 after structural relaxation, with properties calculated at the PBE+U level.

Lattice parameters (Å, degrees): 6.010 6.010 6.010 106.56 106.56 115.47
Atoms (fractional coordinates):
In1 0.250 0.750 0.500
V1 0.500 0.500 0.000
V2 0.750 0.250 0.500
O1 0.481 0.671 0.810
Pm1 0.000 0.000 0.000
O2 0.329 0.139 0.810
O3 0.927 0.244 0.317
O4 0.756 0.073 0.683
O5 0.861 0.671 0.190
O6 0.927 0.610 0.683
O7 0.329 0.519 0.190
O8 0.390 0.073 0.317

- Space-group type: I-4m2, No. 119

Below is PmInWO6 after structural relaxation, with properties calculated at the PBE+U level.

Lattice parameters (Å, degrees): 5.020 5.020 9.980 90.00 90.00 90.00
Atoms (fractional coordinates):
W1 0.000 0.000 0.331
O1 0.277 0.277 0.324
O2 0.192 0.808 0.193
W2 0.500 0.500 0.831
O3 0.676 0.676 0.985
O4 0.692 0.692 0.693
O5 0.223 0.777 0.824
O6 0.324 0.324 0.985
In1 0.500 0.500 0.167
Pm1 0.500 0.500 0.497
O7 0.808 0.192 0.193
O8 0.723 0.723 0.324
O9 0.308 0.308 0.693
O10 0.176 0.824 0.485
In2 0.000 0.000 0.667
O11 0.777 0.223 0.824
Pm2 0.000 0.000 0.997
O12 0.824 0.176 0.485

- Space-group type: P4_2nm, No. 102

no.,spin magnetization (Bohr magnetons per cell),density of states at the Fermi level (states/eV per cell),calculated total energy (eV/atom)
1,0.00,0.00,-7.34
2,0.00,0.00,-7.22